No. 1
# PBE SeSBr, relaxed
# Mass density   2874 kg/m³
# ΔE_f (raw)   0.046 eV/atom
# Calculated total energy   -3.048 eV/atom
# Energy relative to the lowest polymorph listed for this composition   0.045 eV per atom
data_SeSBr
_cell_length_a 4.018
_cell_length_b 6.910
_cell_length_c 8.388
_cell_angle_alpha 107.56
_cell_angle_beta 90.39
_cell_angle_gamma 96.03
_space_group_name_H-M_alt 'P 1'
_space_group_IT_number 1
_space_group_name_Hall 'P 1'
loop_
_atom_site_label
_atom_site_type_symbol
_atom_site_fract_x
_atom_site_fract_y
_atom_site_fract_z
Se1 Se 0.000 0.000 0.000
Se2 Se 0.418 0.982 0.400
S1 S 0.046 0.813 0.213
S2 S 0.700 0.232 0.098
Br1 Br 0.128 0.200 0.627
Br2 Br 0.634 0.693 0.831

***

No. 2
# PBE HgOsN2O, relaxed
# Mass density   10156 kg/m³
# ΔE_f (raw)   2.753 eV/atom
# Calculated total energy   -3.875 eV/atom
data_HgOsN2O
_cell_length_a 4.182
_cell_length_b 4.182
_cell_length_c 4.065
_cell_angle_alpha 90.00
_cell_angle_beta 90.00
_cell_angle_gamma 90.00
_space_group_name_H-M_alt 'P 1'
_space_group_IT_number 1
_space_group_name_Hall 'P 1'
loop_
_atom_site_label
_atom_site_type_symbol
_atom_site_fract_x
_atom_site_fract_y
_atom_site_fract_z
Hg1 Hg 0.000 0.000 0.000
Os1 Os 0.500 0.500 0.500
N1 N 0.000 0.500 0.000
N2 N 0.500 0.000 0.000
O1 O 0.000 0.000 0.500

***

No. 3
# PBE Ag6ICl12, relaxed
# Mass density   4091 kg/m³
# ΔE_f (raw)   -0.304 eV/atom
# Calculated total energy   -2.453 eV/atom
data_Ag6ICl12
_cell_length_a 7.919
_cell_length_b 7.919
_cell_length_c 7.919
_cell_angle_alpha 96.30
_cell_angle_beta 96.30
_cell_angle_gamma 96.30
_space_group_name_H-M_alt 'P 1'
_space_group_IT_number 1
_space_group_name_Hall 'P 1'
loop_
_atom_site_label
_atom_site_type_symbol
_atom_site_fract_x
_atom_site_fract_y
_atom_site_fract_z
Ag1 Ag 0.106 0.634 0.848
Ag2 Ag 0.152 0.894 0.366
Ag3 Ag 0.366 0.152 0.894
Ag4 Ag 0.634 0.848 0.106
Ag5 Ag 0.848 0.106 0.634
Ag6 Ag 0.894 0.366 0.152
I1 I 0.500 0.500 0.500
Cl1 Cl 0.087 0.890 0.677
Cl2 Cl 0.110 0.323 0.913
Cl3 Cl 0.201 0.548 0.377
Cl4 Cl 0.323 0.913 0.110
Cl5 Cl 0.377 0.201 0.548
Cl6 Cl 0.452 0.623 0.799
Cl7 Cl 0.548 0.377 0.201
Cl8 Cl 0.623 0.799 0.452
Cl9 Cl 0.677 0.087 0.890
Cl10 Cl 0.799 0.452 0.623
Cl11 Cl 0.890 0.677 0.087
Cl12 Cl 0.913 0.110 0.323

***

No. 4
# PBE K3Bi3Pb8, relaxed
# Mass density   7928 kg/m³
# Calculated total energy   -3.287 eV/atom
# Energy of formation   -0.1011 eV per atom
data_K3Bi3Pb8
_cell_length_a 10.195
_cell_length_b 10.195
_cell_length_c 10.195
_cell_angle_alpha 150.10
_cell_angle_beta 102.86
_cell_angle_gamma 84.87
_space_group_name_H-M_alt 'P 1'
_space_group_IT_number 1
_space_group_name_Hall 'P 1'
loop_
_atom_site_label
_atom_site_type_symbol
_atom_site_fract_x
_atom_site_fract_y
_atom_site_fract_z
K1 K 0.000 0.000 0.000
K2 K 0.295 0.295 0.000
K3 K 0.705 0.705 0.000
Bi1 Bi 0.328 0.500 0.828
Bi2 Bi 0.500 0.000 0.500
Bi3 Bi 0.672 0.500 0.172
Pb1 Pb 0.002 0.368 0.634
Pb2 Pb 0.121 0.841 0.281
Pb3 Pb 0.266 0.632 0.634
Pb4 Pb 0.440 0.159 0.281
Pb5 Pb 0.560 0.841 0.719
Pb6 Pb 0.734 0.368 0.366
Pb7 Pb 0.879 0.159 0.719
Pb8 Pb 0.998 0.632 0.366

***

Q: Among the records above, which one has the highest calculated total energy?
A: Ag6ICl12

***

Q: Which of these has the highest mass density?
A: HgOsN2O